VASP calculation (PBE) on crystalline Hf2TiBeTl at its relaxed geometry.

Calculated values
Spin magnetization = 2.94 μB per formula unit
Electronic total energy = -5.46 eV/atom
Formation energy = 636 kJ/mol of formula units
V = 123 Å³/cell

```
5
Lattice="-2.745 4.339 1.545 -2.055 -2.343 2.928 3.818 1.137 3.589" Properties=species:S:1:pos:R:3 pbc="T T T"
Hf 1.909 0.568 1.794
Hf -1.372 2.169 0.773
Ti -0.491 1.566 4.031
Be -1.027 -1.171 1.464
Tl 0.000 0.000 0.000
```



VASP calculation (PBE) on crystalline VCdAs2 at its relaxed geometry.

Calculated values
Spin magnetization = 1.00 μB per formula unit
Electronic total energy = -4.79 eV/atom
Formation energy = 18 kJ/mol of formula units
V = 204 Å³/cell

```
8
Lattice="-3.831 2.106 4.053 0.121 -5.241 2.837 2.551 0.271 6.654" Properties=species:S:1:pos:R:3 pbc="T T T"
As 0.062 -2.850 4.126
As -1.569 0.634 4.369
As -1.339 -2.304 10.892
As 0.527 -1.209 7.702
V 0.408 -3.269 6.468
V -1.855 -1.568 3.445
Cd 0.000 0.000 0.000
Cd -1.567 0.405 7.076
```



VASP calculation (PBE) on crystalline Y2HgO at its relaxed geometry.

Calculated values
Spin magnetization = 0.00 μB per formula unit
Electronic total energy = -6.19 eV/atom
Excess energy over the best structure of this formula in the dataset = 0.0 kJ/mol of atoms
ΔE_f (raw) = -1.642 eV per atom
V = 175 Å³/cell

```
8
Lattice="-2.819 -1.603 3.152 -2.132 -2.476 -3.126 6.141 -5.831 1.483" Properties=species:S:1:pos:R:3 pbc="T T T"
O -0.283 -6.459 0.868
O 1.472 -3.451 0.641
Y 1.239 -8.118 1.265
Y 0.765 -5.172 -0.802
Y -0.049 -1.792 0.244
Y 0.424 -4.738 2.312
Hg 3.481 -5.955 1.210
Hg -2.292 -3.955 0.300
```



VASP calculation (PBE) on crystalline PrTh4S5 at its relaxed geometry.

Calculated values
Spin magnetization = 0.00 μB per formula unit
Electronic total energy = -7.38 eV/atom
ΔE_f (raw) = -1.870 eV per atom
V = 235 Å³/cell

```
10
Lattice="5.161 0.000 2.489 2.581 6.409 1.245 -0.204 0.000 7.018" Properties=species:S:1:pos:R:3 pbc="T T T"
Th 6.080 5.135 7.193
Th 4.613 3.838 3.640
Th 2.936 2.572 7.117
Th 1.468 1.275 3.564
Pr 0.007 0.000 0.003
S 3.500 5.121 5.945
S 4.047 1.289 4.811
S 2.588 0.000 1.248
S 5.522 2.575 8.349
S 2.025 3.834 2.408
```



VASP calculation (PBE) on crystalline KNbS3 at its relaxed geometry.

Calculated values
Spin magnetization = 0.00 μB per formula unit
Electronic total energy = -5.69 eV/atom
Excess energy over the best structure of this formula in the dataset = 1.6 kJ/mol of atoms
ΔE_f (raw) = -0.979 eV per atom
V = 563 Å³/cell

```
20
Lattice="6.553 0.075 0.056 0.598 9.469 0.009 0.598 2.684 9.081" Properties=species:S:1:pos:R:3 pbc="T T T"
Nb 0.558 3.439 1.469
Nb 7.191 8.788 7.677
Nb 3.914 9.810 6.234
Nb 3.835 2.417 2.912
K 5.513 3.574 8.008
K 2.236 8.654 1.138
K 2.236 4.846 6.229
K 5.513 7.382 2.916
S 4.141 2.483 5.425
S 2.328 7.933 6.051
S 1.910 10.829 7.269
S 5.186 10.070 8.362
S 2.145 4.144 3.217
S 5.605 8.083 5.928
S 0.865 5.868 0.822
S 6.885 6.359 8.324
S 3.608 9.744 3.721
S 5.421 4.294 3.094
S 2.563 2.157 0.783
S 5.840 1.398 1.876
```



VASP calculation (PBE) on crystalline HfMnTeSe2 at its relaxed geometry.

Calculated values
Spin magnetization = 0.19 μB per formula unit
Electronic total energy = -5.21 eV/atom
ΔE_f (raw) = 0.636 eV per atom
V = 129 Å³/cell

```
5
Lattice="5.103 0.000 0.000 0.000 5.103 0.000 0.000 0.000 4.950" Properties=species:S:1:pos:R:3 pbc="T T T"
Mn 0.000 0.000 2.475
Se 0.000 2.552 0.000
Se 2.552 0.000 0.000
Te 2.552 2.552 2.475
Hf 0.000 0.000 0.000
```



VASP calculation (PBE) on crystalline Nd9SmCd2 at its relaxed geometry.

Calculated values
Spin magnetization = 0.00 μB per formula unit
Electronic total energy = -4.18 eV/atom
Formation energy = -71 kJ/mol of formula units
V = 388 Å³/cell

```
12
Lattice="-3.631 2.637 2.286 -2.627 -4.237 0.714 6.970 -2.056 13.442" Properties=species:S:1:pos:R:3 pbc="T T T"
Nd -0.607 0.962 3.473
Nd 3.946 -0.381 12.255
Nd -0.780 -1.493 6.030
Nd -0.105 -2.475 2.687
Nd 2.172 -3.146 7.078
Nd 4.448 -3.818 11.469
Nd -3.129 -0.800 1.500
Nd 1.492 -2.163 10.413
Nd 1.670 0.290 7.864
Cd 2.367 -0.698 4.566
Cd 4.603 -1.358 8.877
Sm 0.000 0.000 0.000
```



VASP calculation (PBE) on crystalline ZnHOs at its relaxed geometry.

Calculated values
Spin magnetization = 0.00 μB per formula unit
Electronic total energy = -5.05 eV/atom
Excess energy over the best structure of this formula in the dataset = 5.2 kJ/mol of atoms
V = 127 Å³/cell

```
12
Lattice="-1.580 4.240 -2.361 -2.677 -1.033 -0.064 -0.104 -0.343 9.933" Properties=species:S:1:pos:R:3 pbc="T T T"
Os -0.398 0.614 6.784
Os -2.676 2.595 5.722
Os -1.685 0.269 1.786
Os -1.286 3.283 0.788
H -0.746 1.800 2.153
H -0.938 2.097 5.419
H -2.136 1.112 7.088
H -2.225 1.752 0.421
Zn -1.780 0.355 4.392
Zn -2.581 2.509 3.117
Zn -0.390 1.043 -0.543
Zn -1.295 2.853 8.115
```



Q: Which formula does entry 3 have?
A: Y2HgO



Q: Which formula does entry 8 have?
A: ZnHOs



Q: Which of these has the lowest electronic total energy?
A: PrTh4S5



Copy entry 3 word for word.
VASP calculation (PBE) on crystalline Y2HgO at its relaxed geometry.

Calculated values
Spin magnetization = 0.00 μB per formula unit
Electronic total energy = -6.19 eV/atom
Excess energy over the best structure of this formula in the dataset = 0.0 kJ/mol of atoms
ΔE_f (raw) = -1.642 eV per atom
V = 175 Å³/cell

```
8
Lattice="-2.819 -1.603 3.152 -2.132 -2.476 -3.126 6.141 -5.831 1.483" Properties=species:S:1:pos:R:3 pbc="T T T"
O -0.283 -6.459 0.868
O 1.472 -3.451 0.641
Y 1.239 -8.118 1.265
Y 0.765 -5.172 -0.802
Y -0.049 -1.792 0.244
Y 0.424 -4.738 2.312
Hg 3.481 -5.955 1.210
Hg -2.292 -3.955 0.300
```